# 1
# Sr2Tl6AgPd | the Alexandria database | PBE | relaxed
data_Sr2Tl6AgPd
_chemical_formula_sum 'Sr4 Tl12 Ag2 Pd2'
_symmetry_space_group_name_H-M 'P 1'
_symmetry_Int_Tables_number 1
_cell_length_a 13.289
_cell_length_b 13.289
_cell_length_c 13.289
_cell_angle_alpha 32.63
_cell_angle_beta 32.63
_cell_angle_gamma 32.63
loop_
_symmetry_equiv_pos_as_xyz
'x,y,z'
loop_
_atom_site_label
_atom_site_fract_x
_atom_site_fract_y
_atom_site_fract_z
_atom_site_occupancy
Sr1 0.108 0.108 0.108 1
Sr2 0.283 0.283 0.283 1
Sr3 0.717 0.717 0.717 1
Sr4 0.892 0.892 0.892 1
Tl1 0.083 0.657 0.657 1
Tl2 0.221 0.221 0.662 1
Tl3 0.221 0.662 0.221 1
Tl4 0.338 0.779 0.779 1
Tl5 0.343 0.343 0.917 1
Tl6 0.343 0.917 0.343 1
Tl7 0.657 0.083 0.657 1
Tl8 0.657 0.657 0.083 1
Tl9 0.662 0.221 0.221 1
Tl10 0.779 0.338 0.779 1
Tl11 0.779 0.779 0.338 1
Tl12 0.917 0.343 0.343 1
Ag1 0.425 0.425 0.425 1
Ag2 0.575 0.575 0.575 1
Pd1 0.000 0.000 0.000 1
Pd2 0.500 0.500 0.500 1
# - Symmetry: R-3m (166)
# - E_form: -0.154 eV/atom

# 2
# ScInRh | the Alexandria database | PBE | relaxed
data_ScInRh
_chemical_formula_sum 'Sc1 In1 Rh1'
_symmetry_space_group_name_H-M 'P 1'
_symmetry_Int_Tables_number 1
_cell_length_a 5.272
_cell_length_b 5.272
_cell_length_c 5.272
_cell_angle_alpha 141.66
_cell_angle_beta 141.66
_cell_angle_gamma 55.35
loop_
_symmetry_equiv_pos_as_xyz
'x,y,z'
loop_
_atom_site_label
_atom_site_fract_x
_atom_site_fract_y
_atom_site_fract_z
_atom_site_occupancy
Sc1 0.000 0.000 0.000 1
In1 0.690 0.690 0.000 1
Rh1 0.358 0.358 0.000 1
# - Symmetry: I4mm (107)
# - E_form: -0.662 eV/atom